The following is a GGA-PBE calculation of Li11Cd9In4 after structural relaxation, from Alexandria via LeMat-Bulk.

## Properties
Fermi-level density of states ... 11.5 states/eV/cell
Energy of formation ... -233 meV/atom
Total energy ... -91.67 eV for the cell shown

```
data_Li11Cd9In4
_cell_length_a 14.0574
_cell_length_b 20.2862
_cell_length_c 3.2709
_cell_angle_alpha 90.00
_cell_angle_beta 90.00
_cell_angle_gamma 90.00
_space_group_name_H-M_alt 'C m m m'
_space_group_IT_number 65
_space_group_name_Hall '-C 2 2'
loop_
_atom_site_label
_atom_site_type_symbol
_atom_site_fract_x
_atom_site_fract_y
_atom_site_fract_z
Li1 Li 0.0000 0.0000 0.0000
Li2 Li 0.0000 0.1791 0.0000
Li3 Li 0.0000 0.3625 0.0000
Li4 Li 0.2155 0.0000 0.0000
Li5 Li 0.2302 0.1784 0.0000
Cd1 Cd 0.0000 0.5000 0.5000
Cd2 Cd 0.1112 0.0919 0.5000
Cd3 Cd 0.1131 0.2645 0.5000
In1 In 0.1649 0.4128 0.5000
```